Record 1
A relaxed structure of ZnGa6Ag3, computed with PBE.

Output
Symmetry: P-3m1, No. 164
DOS at the Fermi energy, states/eV/atom: 0.333
Total magnetic moment, μB/f.u.: 0.00
Density, Mg/m³: 7.5
Relative energy among the computed polymorphs, eV per formula unit: 0.00
DFT formation energy, meV/atom: 17

abc: 3.1064 3.1064 21.2900
angles: 90.00 90.00 120.00
Fractional coordinates of all 10 atoms:
Zn 0.0000 0.0000 0.0000
Ga 0.3333 0.6667 0.3018
Ga 0.3333 0.6667 0.6005
Ga 0.3333 0.6667 0.9014
Ga 0.6667 0.3333 0.0986
Ga 0.6667 0.3333 0.3995
Ga 0.6667 0.3333 0.6982
Ag 0.0000 0.0000 0.2010
Ag 0.0000 0.0000 0.5000
Ag 0.0000 0.0000 0.7990


Record 2
A relaxed structure of ZnGa2Ag3, computed with PBE.

Output
Symmetry: Pmmn, No. 59
DOS at the Fermi energy, states/eV/atom: 0.341
Total magnetic moment, μB/f.u.: 0.00
Density, Mg/m³: 8.5
Relative energy among the computed polymorphs, eV per formula unit: 0.00
DFT formation energy, meV/atom: -22

abc: 4.8524 8.7729 4.8439
angles: 90.00 90.00 90.00
Fractional coordinates of all 12 atoms:
Zn 0.2500 0.2500 0.0980
Zn 0.7500 0.7500 0.9020
Ga 0.2500 0.5835 0.0957
Ga 0.2500 0.9165 0.0957
Ga 0.7500 0.0835 0.9043
Ga 0.7500 0.4165 0.9043
Ag 0.2500 0.0846 0.5988
Ag 0.2500 0.4154 0.5988
Ag 0.2500 0.7500 0.6033
Ag 0.7500 0.2500 0.3967
Ag 0.7500 0.5846 0.4012
Ag 0.7500 0.9154 0.4012


Record 3
A relaxed structure of ZnGaAg, computed with PBE.

Output
Symmetry: I4mm, No. 107
DOS at the Fermi energy, states/eV/atom: 0.394
Total magnetic moment, μB/f.u.: 0.00
Density, Mg/m³: 7.9
Relative energy among the computed polymorphs, eV per formula unit: 0.09
DFT formation energy, meV/atom: 11

abc: 4.7993 4.7993 4.7993
angles: 136.83 136.83 62.69
Fractional coordinates of all 3 atoms:
Zn 0.0000 0.0000 0.0000
Ga 0.3325 0.3325 0.0000
Ag 0.6656 0.6656 0.0000